First-principles (PBE with a Hubbard U) data for a relaxed CaMg6MnO8 crystal, as listed in Alexandria via LeMat-Bulk.

```
CaMg6MnO8
1.0
-1.887 3.305 2.203
-0.203 -2.516 3.601
7.872 2.865 2.445
O Mg Mn Ca
8 6 1 1
Cartesian
2.992 3.085 2.324
2.085 0.759 0.648
-0.101 -1.258 1.801
3.834 0.174 3.023
5.786 2.106 1.797
0.993 1.136 3.535
4.789 2.518 4.714
-0.944 1.653 1.102
2.891 1.827 4.125
3.936 1.432 1.222
5.729 0.864 3.611
1.940 -0.515 2.435
1.098 2.396 1.736
4.887 3.775 2.912
-1.045 0.395 2.902
0.000 0.000 0.000
```

Computed properties:
* volume: 10.55 Å³ per atom
* symmetry: No. 123
* VASP energy: -6.21 eV/atom
* N(E_F): 0.0 states/eV/f.u.